The following is a DFT calculation (GGA-PBE) of a relaxed NiW2Au crystal.

Lattice parameters (Å, degrees): 9.4086 2.9236 4.5596 90.00 101.93 90.00
With the nearest neighbours (Å) after each atom.
Space group C2/m (No. 12)
Unique sites:
1 Ni 0.0000 0.0000 0.0000  4 Au 2.71, 6 W 2.77-2.82, 2 Ni 2.92
2 W 0.2462 0.5000 0.2397  6 W 2.64-2.92, 3 Ni 2.77-2.82, 3 Au 2.81-2.84
3 Au 0.0000 0.5000 0.5000  4 Ni 2.71, 6 W 2.81-2.84, 2 Au 2.92

## Properties
Formation energy from the elements = 0.3227 eV/atom
Crystal system = monoclinic
Excess energy over the best structure of this formula in the dataset = 155 meV per atom

=====

The following is a DFT calculation (GGA-PBE) of a relaxed FeAgN2 crystal.

Lattice parameters (Å, degrees): 2.8530 2.8530 19.0011 90.00 90.00 120.00
With the nearest neighbours (Å) after each atom.
Space group R-3m (No. 166, hexagonal axes)
Unique sites:
1 Fe 0.0000 0.0000 0.0000  6 N 1.95
2 Ag 0.0000 0.0000 0.5000  2 N 2.12
3 N 0.0000 0.0000 0.3885  3 Fe 1.95, 1 Ag 2.12

## Properties
Formation energy (no corrections) = 551 meV per atom
Crystal system = trigonal
Excess energy over the best structure of this formula in the dataset = 93 meV per atom

=====

The following is a DFT calculation (GGA-PBE) of a relaxed TlAgSbPb crystal.

Lattice parameters (Å, degrees): 7.5840 7.5840 7.5840 90.00 90.00 90.00
With the nearest neighbours (Å) after each atom.
Space group F-43m (No. 216)
Unique sites:
1 Tl 0.0000 0.0000 0.0000  4 Pb 3.28, 4 Ag 3.28
2 Ag 0.2500 0.2500 0.7500  4 Tl 3.28, 4 Sb 3.28
3 Sb 0.0000 0.0000 0.5000  4 Pb 3.28, 4 Ag 3.28
4 Pb 0.2500 0.2500 0.2500  4 Tl 3.28, 4 Sb 3.28

## Properties
Formation energy (no corrections) = 149 meV per atom
Crystal system = cubic
Excess energy over the best structure of this formula in the dataset = 75 meV per atom

=====

The following is a DFT calculation (GGA-PBE) of a relaxed FeRh5 crystal.

Lattice parameters (Å, degrees): 4.3263 4.3263 5.2884 90.00 90.00 120.00
With the nearest neighbours (Å) after each atom.
Space group P-3m1 (No. 164)
Unique sites:
1 Fe 0.0000 0.0000 0.0000  8 Rh 2.59-2.64
2 Rh 0.0000 0.0000 0.5000  6 Rh 2.59, 2 Fe 2.64
3 Rh 0.3333 0.6667 0.3682  11 Rh 2.59-2.86
4 Rh 0.3333 0.6667 0.8714  3 Fe 2.59, 8 Rh 2.63-2.84

## Properties
Formation energy from the elements = 0.1972 eV/atom
Crystal system = trigonal